1.
Compound: RbTi2ReF
Source: Alexandria
Functional: PBEsol
Structure: optimized geometry

Results
DOS(E_F) (states/eV/f.u.): 6.62
Size of the total moment (μB/cell): 0.550
E_form (uncorrected) (meV per atom): 2689

Structure (CIF):
```
data_RbTi2ReF
_cell_length_a 4.711
_cell_length_b 4.711
_cell_length_c 4.635
_cell_angle_alpha 90.00
_cell_angle_beta 90.00
_cell_angle_gamma 90.00
_symmetry_space_group_name_H-M 'P 4/m m m'
_symmetry_Int_Tables_number 123
_symmetry_space_group_name_Hall '-P 4 2'
loop_
_atom_site_label
_atom_site_type_symbol
_atom_site_fract_x
_atom_site_fract_y
_atom_site_fract_z
_atom_site_occupancy
Rb1 Rb 0.000 0.000 0.000 1
Ti1 Ti 0.000 0.500 0.000 1
Re1 Re 0.000 0.000 0.500 1
F1 F 0.500 0.500 0.500 1
```



2.
Compound: Sc2MoW
Source: Alexandria
Functional: PBEsol
Structure: optimized geometry

Results
DOS(E_F) (states/eV/f.u.): 6.86
E_form (meV per atom): 514
Size of the total moment (μB/cell): 0.007

Structure (CIF):
```
data_Sc2MoW
_cell_length_a 6.544
_cell_length_b 6.544
_cell_length_c 6.544
_cell_angle_alpha 90.00
_cell_angle_beta 90.00
_cell_angle_gamma 90.00
_symmetry_space_group_name_H-M 'F m -3 m'
_symmetry_Int_Tables_number 225
_symmetry_space_group_name_Hall '-F 4 2 3'
loop_
_atom_site_label
_atom_site_type_symbol
_atom_site_fract_x
_atom_site_fract_y
_atom_site_fract_z
_atom_site_occupancy
Sc1 Sc 0.250 0.250 0.250 1
Mo1 Mo 0.000 0.000 0.000 1
W1 W 0.000 0.000 0.500 1
```



3.
Compound: SrFeAg
Source: Alexandria
Functional: PBEsol
Structure: optimized geometry

Results
DOS(E_F) (states/eV/f.u.): 3.20
E_form (meV per atom): 422
Size of the total moment (μB/cell): 2.620

Structure (CIF):
```
data_SrFeAg
_cell_length_a 4.3654
_cell_length_b 4.3654
_cell_length_c 4.3466
_cell_angle_alpha 90.00
_cell_angle_beta 90.00
_cell_angle_gamma 120.00
_symmetry_space_group_name_H-M 'P -6 m 2'
_symmetry_Int_Tables_number 187
_symmetry_space_group_name_Hall 'P -6 2'
loop_
_atom_site_label
_atom_site_type_symbol
_atom_site_fract_x
_atom_site_fract_y
_atom_site_fract_z
_atom_site_occupancy
Sr1 Sr 0.0000 0.0000 0.0000 1
Fe1 Fe 0.6667 0.3333 0.5000 1
Ag1 Ag 0.3333 0.6667 0.5000 1
```



4.
Compound: RbTl2Sb2
Source: Alexandria
Functional: PBEsol
Structure: optimized geometry

Results
DOS(E_F) (states/eV/f.u.): 2.61
Size of the total moment (μB/cell): 0.000
E_form (uncorrected) (meV per atom): -164

Structure (CIF):
```
data_RbTl2Sb2
_cell_length_a 5.169
_cell_length_b 5.169
_cell_length_c 12.970
_cell_angle_alpha 90.00
_cell_angle_beta 90.00
_cell_angle_gamma 90.00
_symmetry_space_group_name_H-M 'I 4/m m m'
_symmetry_Int_Tables_number 139
_symmetry_space_group_name_Hall '-I 4 2'
loop_
_atom_site_label
_atom_site_type_symbol
_atom_site_fract_x
_atom_site_fract_y
_atom_site_fract_z
_atom_site_occupancy
Rb1 Rb 0.000 0.000 0.000 1
Tl1 Tl 0.000 0.500 0.250 1
Sb1 Sb 0.000 0.000 0.384 1
```



5.
Compound: CaInMo2
Source: Alexandria
Functional: PBEsol
Structure: optimized geometry

Results
DOS(E_F) (states/eV/f.u.): 2.83
E_form (meV per atom): 564
Size of the total moment (μB/cell): 0.000

Structure (CIF):
```
data_CaInMo2
_cell_length_a 2.822
_cell_length_b 5.022
_cell_length_c 5.394
_cell_angle_alpha 90.00
_cell_angle_beta 96.30
_cell_angle_gamma 90.00
_symmetry_space_group_name_H-M 'P 1 2/m 1'
_symmetry_Int_Tables_number 10
loop_
_symmetry_equiv_pos_as_xyz
'x,y,z'
'-x,-y,-z'
'-x,y,-z'
'x,-y,z'
loop_
_atom_site_label
_atom_site_type_symbol
_atom_site_fract_x
_atom_site_fract_y
_atom_site_fract_z
_atom_site_occupancy
Ca1 Ca 0.000 0.000 0.000 1
In1 In 0.500 0.000 0.500 1
Mo1 Mo 0.328 0.500 0.775 1
```



6.
Compound: NiH2Os
Source: Alexandria
Functional: PBEsol
Structure: optimized geometry

Results
DOS(E_F) (states/eV/f.u.): 2.48
Size of the total moment (μB/cell): 0.003

Structure (CIF):
```
data_NiH2Os
_cell_length_a 3.973
_cell_length_b 3.973
_cell_length_c 7.815
_cell_angle_alpha 90.00
_cell_angle_beta 90.00
_cell_angle_gamma 90.00
_symmetry_space_group_name_H-M 'I -4 2 d'
_symmetry_Int_Tables_number 122
_symmetry_space_group_name_Hall 'I -4 2bw'
loop_
_atom_site_label
_atom_site_type_symbol
_atom_site_fract_x
_atom_site_fract_y
_atom_site_fract_z
_atom_site_occupancy
Ni1 Ni 0.000 0.000 0.000 1
H1 H 0.210 0.250 0.125 1
Os1 Os 0.000 0.000 0.500 1
```



7.
Compound: IrC
Source: Alexandria
Functional: PBEsol
Structure: optimized geometry

Results
DOS(E_F) (states/eV/f.u.): 0.78
E_form (meV per atom): 1023
Size of the total moment (μB/cell): 0.000

Structure (CIF):
```
data_IrC
_cell_length_a 2.708
_cell_length_b 10.029
_cell_length_c 3.113
_cell_angle_alpha 90.00
_cell_angle_beta 90.00
_cell_angle_gamma 90.00
_symmetry_space_group_name_H-M 'C m c m'
_symmetry_Int_Tables_number 63
_symmetry_space_group_name_Hall '-C 2c 2'
loop_
_atom_site_label
_atom_site_type_symbol
_atom_site_fract_x
_atom_site_fract_y
_atom_site_fract_z
_atom_site_occupancy
Ir1 Ir 0.000 0.119 0.250 1
C1 C 0.000 0.328 0.250 1
```



8.
Compound: TlZn2GaGe
Source: Alexandria
Functional: PBEsol
Structure: optimized geometry

Results
DOS(E_F) (states/eV/f.u.): 2.83
E_form (meV per atom): 505
Size of the total moment (μB/cell): 0.000

Structure (CIF):
```
data_TlZn2GaGe
_cell_length_a 4.650
_cell_length_b 4.650
_cell_length_c 5.650
_cell_angle_alpha 90.00
_cell_angle_beta 90.00
_cell_angle_gamma 90.00
_symmetry_space_group_name_H-M 'P 4/m m m'
_symmetry_Int_Tables_number 123
_symmetry_space_group_name_Hall '-P 4 2'
loop_
_atom_site_label
_atom_site_type_symbol
_atom_site_fract_x
_atom_site_fract_y
_atom_site_fract_z
_atom_site_occupancy
Tl1 Tl 0.000 0.000 0.000 1
Zn1 Zn 0.000 0.500 0.500 1
Ga1 Ga 0.500 0.500 0.000 1
Ge1 Ge 0.000 0.000 0.500 1
```



9.
Compound: HfAl2CdIn
Source: Alexandria
Functional: PBEsol
Structure: optimized geometry

Results
DOS(E_F) (states/eV/f.u.): 2.44
E_form (meV per atom): 779
Size of the total moment (μB/cell): 0.000

Structure (CIF):
```
data_HfAl2CdIn
_cell_length_a 4.750
_cell_length_b 4.750
_cell_length_c 5.375
_cell_angle_alpha 90.00
_cell_angle_beta 90.00
_cell_angle_gamma 90.00
_symmetry_space_group_name_H-M 'P 4/m m m'
_symmetry_Int_Tables_number 123
_symmetry_space_group_name_Hall '-P 4 2'
loop_
_atom_site_label
_atom_site_type_symbol
_atom_site_fract_x
_atom_site_fract_y
_atom_site_fract_z
_atom_site_occupancy
Hf1 Hf 0.000 0.000 0.000 1
Al1 Al 0.000 0.500 0.500 1
Cd1 Cd 0.000 0.000 0.500 1
In1 In 0.500 0.500 0.000 1
```



10.
Compound: La2MnCu
Source: Alexandria
Functional: PBEsol
Structure: optimized geometry

Results
DOS(E_F) (states/eV/f.u.): 4.43
E_form (meV per atom): 178
Size of the total moment (μB/cell): 5.890

Structure (CIF):
```
data_La2MnCu
_cell_length_a 3.482
_cell_length_b 4.787
_cell_length_c 10.737
_cell_angle_alpha 90.00
_cell_angle_beta 90.00
_cell_angle_gamma 90.00
_symmetry_space_group_name_H-M 'I m m 2'
_symmetry_Int_Tables_number 44
loop_
_symmetry_equiv_pos_as_xyz
'x,y,z'
'-x,-y,z'
'-x,y,z'
'x,-y,z'
'x+1/2,y+1/2,z+1/2'
'-x+1/2,-y+1/2,z+1/2'
'-x+1/2,y+1/2,z+1/2'
'x+1/2,-y+1/2,z+1/2'
loop_
_atom_site_label
_atom_site_type_symbol
_atom_site_fract_x
_atom_site_fract_y
_atom_site_fract_z
_atom_site_occupancy
La1 La 0.000 0.000 0.000 1
La2 La 0.000 0.500 0.199 1
Mn1 Mn 0.000 0.000 0.426 1
Cu1 Cu 0.000 0.500 0.766 1
```



11.
Compound: CaDy2S4
Source: Alexandria
Functional: PBEsol
Structure: optimized geometry

Results
DOS(E_F) (states/eV/f.u.): 0.00
Size of the total moment (μB/cell): 0.000
E_form (uncorrected) (meV per atom): -2154

Structure (CIF):
```
data_CaDy2S4
_cell_length_a 8.237
_cell_length_b 8.237
_cell_length_c 8.249
_cell_angle_alpha 90.00
_cell_angle_beta 90.00
_cell_angle_gamma 90.00
_symmetry_space_group_name_H-M 'I -4 2 d'
_symmetry_Int_Tables_number 122
_symmetry_space_group_name_Hall 'I -4 2bw'
loop_
_atom_site_label
_atom_site_type_symbol
_atom_site_fract_x
_atom_site_fract_y
_atom_site_fract_z
_atom_site_occupancy
Ca1 Ca 0.000 0.000 0.000 1
Dy1 Dy 0.128 0.250 0.625 1
S1 S 0.074 0.176 0.307 1
```



12.
Compound: As3IrC
Source: Alexandria
Functional: PBEsol
Structure: optimized geometry

Results
DOS(E_F) (states/eV/f.u.): 5.79
E_form (meV per atom): 1940
Size of the total moment (μB/cell): 0.005

Structure (CIF):
```
data_As3IrC
_cell_length_a 4.731
_cell_length_b 4.731
_cell_length_c 4.731
_cell_angle_alpha 90.00
_cell_angle_beta 90.00
_cell_angle_gamma 90.00
_symmetry_space_group_name_H-M 'P m -3 m'
_symmetry_Int_Tables_number 221
_symmetry_space_group_name_Hall '-P 4 2 3'
loop_
_atom_site_label
_atom_site_type_symbol
_atom_site_fract_x
_atom_site_fract_y
_atom_site_fract_z
_atom_site_occupancy
As1 As 0.000 0.000 0.500 1
Ir1 Ir 0.000 0.000 0.000 1
C1 C 0.500 0.500 0.500 1
```



Sequential E output: -3.897, -9.182, -4.283, -3.244, -6.599, -5.938, -8.711, -2.309, -3.795, -6.019, -6.387, -5.017 eV/atom